5
Lattice="4.3572 0.0000 0.0000 0.0000 4.3572 0.0000 0.0000 0.0000 3.9890" Properties=species:S:1:pos:R:3 comment="ScZn2HgH PBE-GGA relaxed" rho_g_cm3=8.27 crystal_system=tetragonal dos_at_fermi_per_ev_cell=1.263 total_energy_ev_per_cell=-13.4 pbc="T T T"
Sc 0.0000 0.0000 0.0000
Zn 0.0000 2.1786 1.9945
Zn 2.1786 0.0000 1.9945
Hg 2.1786 2.1786 0.0000
H 0.0000 0.0000 1.9945